# 1
The following is a DFT calculation (GGA-PBE) of a geometry-optimized Sr3Ge3Pt structure.

a b c (Å): 6.2129 6.2129 14.9313
angles (deg): 108.85 108.85 43.34
Fractional positions:
Sr1 0.0273 0.0273 0.3842
Sr2 0.1024 0.1024 0.9212
Sr3 0.2428 0.2428 0.2313
Sr4 0.7572 0.7572 0.7687
Sr5 0.8976 0.8976 0.0788
Sr6 0.9727 0.9727 0.6158
Ge1 0.3362 0.3362 0.4602
Ge2 0.3979 0.3979 0.9236
Ge3 0.4555 0.4555 0.7654
Ge4 0.5445 0.5445 0.2346
Ge5 0.6021 0.6021 0.0764
Ge6 0.6638 0.6638 0.5398
Pt1 0.2562 0.2562 0.6081
Pt2 0.7438 0.7438 0.3919

Values from the calculation:
* D(E_F): 0.42 states/eV/atom
* ΔE_f: -479 kJ/mol of formula units
* total DFT energy (no corrections): -4.272 eV per atom

---

# 2
The following is a DFT calculation (GGA-PBE) of a geometry-optimized ZrBe2Au structure.

a b c (Å): 4.1956 4.1956 6.8838
angles (deg): 90.00 90.00 90.00
Fractional positions:
Zr1 0.0000 0.0000 0.0000
Zr2 0.5000 0.5000 0.5000
Be1 0.0000 0.0000 0.5000
Be2 0.0000 0.5000 0.2500
Be3 0.5000 0.0000 0.7500
Be4 0.5000 0.5000 0.0000
Au1 0.0000 0.5000 0.7500
Au2 0.5000 0.0000 0.2500

Values from the calculation:
* D(E_F): 0.34 states/eV/atom
* ΔE_f: -14 kJ/mol of formula units
* offset from the most stable computed form: 0.319 eV per atom
* total DFT energy (no corrections): -4.855 eV per atom

---

# 3
The following is a DFT calculation (GGA-PBE) of a geometry-optimized Ti2BeV structure.

a b c (Å): 3.5876 3.5876 18.1641
angles (deg): 90.00 90.00 90.00
Fractional positions:
Ti1 0.2504 0.2500 0.1250
Ti2 0.2496 0.2500 0.6250
Ti3 0.2500 0.7504 0.3750
Ti4 0.2500 0.7496 0.8750
Ti5 0.7500 0.2496 0.3750
Ti6 0.7500 0.2504 0.8750
Ti7 0.7496 0.7500 0.1250
Ti8 0.7504 0.7500 0.6250
Be1 0.0000 0.0000 0.0000
Be2 0.0000 0.5000 0.2500
Be3 0.5000 0.0000 0.7500
Be4 0.5000 0.5000 0.5000
V1 0.0000 0.0000 0.5000
V2 0.0000 0.5000 0.7500
V3 0.5000 0.0000 0.2500
V4 0.5000 0.5000 0.0000

Values from the calculation:
* D(E_F): 1.25 states/eV/atom
* ΔE_f: 184 kJ/mol of formula units
* total DFT energy (no corrections): -6.682 eV per atom

---

# 4
The following is a DFT calculation (GGA-PBE) of a geometry-optimized Mn3NbV structure.

a b c (Å): 4.1651 4.1651 4.1651
angles (deg): 90.00 90.00 90.00
Fractional positions:
Mn1 0.0000 0.0000 0.5000
Mn2 0.0000 0.5000 0.0000
Mn3 0.5000 0.0000 0.0000
Nb1 0.5000 0.5000 0.5000
V1 0.0000 0.0000 0.0000

Values from the calculation:
* D(E_F): 1.04 states/eV/atom
* ΔE_f: 441 kJ/mol of formula units
* offset from the most stable computed form: 0.000 eV per atom
* total DFT energy (no corrections): -8.425 eV per atom

---

# 5
The following is a DFT calculation (GGA-PBE) of a geometry-optimized ZrTi2HPb structure.

a b c (Å): 4.4122 4.4122 4.2357
angles (deg): 90.00 90.00 90.00
Fractional positions:
Zr1 0.0000 0.0000 0.0000
Ti1 0.0000 0.5000 0.5000
Ti2 0.5000 0.0000 0.5000
H1 0.0000 0.0000 0.5000
Pb1 0.5000 0.5000 0.0000

Values from the calculation:
* D(E_F): 1.04 states/eV/atom
* total DFT energy (no corrections): -6.503 eV per atom